The following is a PBE-GGA calculation of an optimized crystal structure of La2NbAl, from the Alexandria database.

## Properties
Calculated formation energy (eV per formula unit): 1.82
Density (g/cm3): 6.23
Space group: I-42d
Electronic total energy (eV/atom): -5.4606
Crystal system: tetragonal

a = 8.3839 Å, b = 8.3839 Å, c = 6.6521 Å
α = 50.94°, β = 50.94°, γ = 90.00°
With the nearest neighbours (Å) after each atom.
Atoms (fractional coordinates):
Nb 0.0000 0.0000 0.0000  4 La 3.01, 2 Al 3.02
Nb 0.7500 0.2500 0.5000  4 La 3.01, 2 Al 3.02
Al 0.5000 0.5000 0.0000  2 Nb 3.02, 4 La 3.11
Al 0.2500 0.7500 0.5000  2 Nb 3.02, 4 La 3.11
La 0.6340 0.1250 0.2500  2 Nb 3.01, 2 La 3.02, 2 Al 3.11
La 0.1160 0.6250 0.2500  2 Nb 3.01, 2 La 3.02, 2 Al 3.11
La 0.3750 0.3660 0.7500  2 Nb 3.01, 2 La 3.02, 2 Al 3.11
La 0.8750 0.8840 0.7500  2 Nb 3.01, 2 La 3.02, 2 Al 3.11


The following is a PBE-GGA calculation of an optimized crystal structure of LaNbAl3, from the Alexandria database.

## Properties
ΔE to the lowest computed polymorph (eV per formula unit): 0.00
Calculated formation energy (eV per formula unit): 0.05
Density (g/cm3): 4.18
Space group: Pm-3m
Electronic total energy (eV/atom): -5.2349
Crystal system: cubic

a = 4.9919 Å, b = 4.9919 Å, c = 4.9919 Å
α = 90.00°, β = 90.00°, γ = 90.00°
With the nearest neighbours (Å) after each atom.
Atoms (fractional coordinates):
Nb 0.0000 0.0000 0.0000  6 Al 2.50
Al 0.0000 0.5000 0.0000  2 Nb 2.50
Al 0.0000 0.0000 0.5000  2 Nb 2.50
Al 0.5000 0.0000 0.0000  2 Nb 2.50
La 0.5000 0.5000 0.5000  12 Al 3.53


The following is a PBE-GGA calculation of an optimized crystal structure of LaNb2AlNi, from the Alexandria database.

## Properties
Calculated formation energy (eV per formula unit): 3.33
Density (g/cm3): 6.38
Space group: P4/mmm
Electronic total energy (eV/atom): -6.2513
Crystal system: tetragonal

a = 4.9547 Å, b = 4.3530 Å, c = 4.9547 Å
α = 90.00°, β = 90.00°, γ = 90.00°
With the nearest neighbours (Å) after each atom.
Atoms (fractional coordinates):
Ni 0.0000 0.5000 0.0000  2 Al 2.18
Nb 0.0000 0.0000 0.5000  2 Al 2.48
Nb 0.5000 0.0000 0.0000  2 Al 2.48
Al 0.0000 0.0000 0.0000  2 Ni 2.18
La 0.5000 0.5000 0.5000  8 Nb 3.30, 4 Ni 3.50


The following is a PBE-GGA calculation of an optimized crystal structure of LaNbAlO6, from the Alexandria database.

## Properties
Formation energy from raw total energies (eV per atom): -2.71
Density (g/cm3): 4.87
Space group: P312
Electronic total energy (eV/atom): -8.0991
Crystal system: trigonal

a = 5.2016 Å, b = 5.2017 Å, c = 5.1665 Å
α = 90.00°, β = 90.00°, γ = 60.00°
With the nearest neighbours (Å) after each atom.
Atoms (fractional coordinates):
La 0.0000 0.0000 0.0000  6 O 2.45
Nb 0.3333 0.3333 0.5000  6 O 2.01
Al 0.6666 0.6667 0.5000  6 O 1.92
O 0.9871 0.3791 0.2900  1 Al 1.92, 1 Nb 2.01
O 0.3790 0.9871 0.7100  1 Al 1.92, 1 Nb 2.01
O 0.6338 0.3791 0.7100  1 Al 1.92, 1 Nb 2.01
O 0.9871 0.6338 0.7100  1 Al 1.92, 1 Nb 2.01
O 0.3791 0.6338 0.2900  1 Al 1.92, 1 Nb 2.01
O 0.6338 0.9871 0.2900  1 Al 1.92, 1 Nb 2.01